1.
The following is a GGA-PBE calculation of an optimized crystal structure of LiNiP2, from Alexandria.

a b c (Å): 5.8305 3.9253 5.9431
angles (deg): 90.00 118.96 90.00
Element x y z (fractional)
Li: 0.0000 0.0000 0.0000
Li: 0.5000 0.5000 0.0000
Ni: 0.0016 0.0000 0.5004
Ni: 0.5016 0.5000 0.5004
P: 0.0534 0.5000 0.3318
P: 0.4497 0.0000 0.6689
P: 0.5534 0.0000 0.3318
P: 0.9497 0.5000 0.6689

Summary:
For the formation energy, the calculation gives -0.3615 eV/atom. The value obtained for the calculated total energy is -39.9 eV per cell.

2.
The following is a GGA-PBE calculation of an optimized crystal structure of PmZn2Ir, from Alexandria.

a b c (Å): 4.3027 4.3027 14.8276
angles (deg): 90.00 90.00 120.00
Element x y z (fractional)
Pm: 0.0000 0.0000 0.0000
Pm: 0.3333 0.6667 0.6667
Pm: 0.6667 0.3333 0.3333
Zn: 0.0000 0.0000 0.2099
Zn: 0.0000 0.0000 0.7901
Zn: 0.3333 0.6667 0.4568
Zn: 0.3333 0.6667 0.8766
Zn: 0.6667 0.3333 0.1234
Zn: 0.6667 0.3333 0.5432
Ir: 0.0000 0.0000 0.5000
Ir: 0.3333 0.6667 0.1667
Ir: 0.6667 0.3333 0.8333

Summary:
The energy above the lowest structure with this stoichiometry comes out at 143 meV/atom. For the formation energy, the calculation gives -0.3547 eV/atom. The value obtained for the calculated total energy is -52.7 eV per cell.

3.
The following is a GGA-PBE calculation of an optimized crystal structure of KCuAgTe2, from Alexandria.

a b c (Å): 5.5473 5.5473 4.9987
angles (deg): 90.00 90.00 90.00
Element x y z (fractional)
K: 0.0000 0.0000 0.0000
Cu: 0.5000 0.5000 0.0000
Ag: 0.5000 0.5000 0.5000
Te: 0.0000 0.5000 0.5000
Te: 0.5000 0.0000 0.5000

Summary:
The energy above the lowest structure with this stoichiometry comes out at 423 meV/atom. Its formation energy without anion corrections is 0.06 eV per atom. The value obtained for the calculated total energy is -14.1 eV per cell.